This record from Alexandria describes crystalline SrLi2W at its relaxed geometry. The functional is PBEsol.

CIF file:
```
data_SrLi2W
_chemical_formula_sum 'Sr1 Li2 W1'
_symmetry_space_group_name_H-M 'P 4/m m m'
_symmetry_Int_Tables_number 123
_symmetry_space_group_name_Hall '-P 4 2'
_cell_length_a 5.105
_cell_length_b 5.105
_cell_length_c 2.850
_cell_angle_alpha 90.00
_cell_angle_beta 90.00
_cell_angle_gamma 90.00
loop_
_atom_site_label
_atom_site_type_symbol
_atom_site_fract_x
_atom_site_fract_y
_atom_site_fract_z
Sr1 Sr 0.000 0.000 0.000
Li1 Li 0.000 0.500 0.500
W1 W 0.500 0.500 0.000
```

Properties
* calculated formation energy: 1.007 eV per atom
* ΔE to the lowest computed polymorph: 0.116 eV/atom
* E: -3.888 eV per atom